Entry from Alexandria via LeMat-Bulk: a relaxed structure of Ho3Tm2Au2 (PBE-GGA).

DFT formation energy = -503 meV/atom

```
Ho3Tm2Au2
1.0
-0.758 -3.400 -1.174
6.433 0.123 1.246
-5.193 -1.363 7.300
Ho Tm Au
3 2 2
Direct
0.387 0.774 0.557 Ho
0.613 0.226 0.443 Ho
0.500 0.000 0.000 Ho
0.151 0.303 0.812 Tm
0.849 0.697 0.188 Tm
0.175 0.350 0.227 Au
0.825 0.650 0.773 Au
```


Entry from Alexandria via LeMat-Bulk: a relaxed structure of AgSbAu6 (PBE-GGA).

Energy above the most stable polymorph in this dataset = 0.000 eV per atom
Uncorrected formation energy = 0.009 eV per atom

```
AgSbAu6
1.0
4.969 -0.128 -1.370
-2.034 4.535 -1.373
0.070 0.109 6.732
Au Ag Sb
6 1 1
Direct
0.127 0.627 0.255 Au
0.755 0.755 0.509 Au
0.245 0.245 0.491 Au
0.627 0.127 0.255 Au
0.373 0.873 0.745 Au
0.873 0.373 0.745 Au
0.000 0.000 0.000 Ag
0.500 0.500 0.000 Sb
```


Entry from Alexandria via LeMat-Bulk: a relaxed structure of Pm6AsSe2S3 (PBE-GGA).

Uncorrected formation energy = -1.904 eV per atom

```
Pm6AsSe2S3
1.0
-2.096 3.190 -1.511
-3.552 -4.983 -5.593
-4.582 -1.979 7.756
Pm S Se As
6 3 2 1
Direct
0.339 0.404 0.678 Pm
0.004 0.748 0.007 Pm
0.333 0.930 0.665 Pm
0.667 0.070 0.335 Pm
0.661 0.596 0.322 Pm
0.996 0.252 0.993 Pm
0.833 0.166 0.665 S
0.500 0.500 0.000 S
0.167 0.834 0.335 S
0.832 0.664 0.664 Se
0.168 0.336 0.336 Se
0.500 0.000 0.000 As
```


Entry from Alexandria via LeMat-Bulk: a relaxed structure of Ce4RuBr5 (PBE-GGA).

Energy above the most stable polymorph in this dataset = 0.000 eV per atom
Uncorrected formation energy = -1.317 eV per atom

```
Ce4RuBr5
1.0
-3.540 -0.250 -2.022
3.476 -6.119 -5.330
-1.874 -4.744 7.992
Ce Br Ru
4 5 1
Direct
0.349 0.921 0.697 Ce
0.000 0.779 0.999 Ce
0.651 0.079 0.303 Ce
0.000 0.221 0.001 Ce
0.832 0.662 0.663 Br
0.500 0.500 0.000 Br
0.168 0.338 0.337 Br
0.829 0.170 0.657 Br
0.171 0.830 0.343 Br
0.500 0.000 0.000 Ru
```


Entry from Alexandria via LeMat-Bulk: a relaxed structure of Ba2Pb6Au (PBE-GGA).

DFT formation energy = -279 meV/atom

```
Ba2Pb6Au
1.0
-2.269 -0.267 -4.226
-1.261 -4.644 0.970
-10.098 4.385 7.875
Pb Ba Au
6 2 1
Direct
0.885 0.500 0.770 Pb
0.716 0.000 0.432 Pb
0.213 0.500 0.426 Pb
0.097 0.500 0.195 Pb
0.600 0.000 0.200 Pb
0.455 0.500 0.909 Pb
0.993 0.000 0.985 Ba
0.330 0.000 0.661 Ba
0.779 0.500 0.559 Au
```


Entry from Alexandria via LeMat-Bulk: a relaxed structure of LaNb3Ir (PBE-GGA).

Energy above the most stable polymorph in this dataset = 0.000 eV per atom
DFT formation energy = 561 meV/atom

```
LaNb3Ir
1.0
-1.666 1.343 4.491
-0.811 -4.777 1.128
4.617 -0.354 1.819
La Nb Ir
1 3 1
Direct
0.500 0.500 0.500 La
0.500 0.000 0.000 Nb
0.000 0.000 0.500 Nb
0.000 0.500 0.000 Nb
0.000 0.000 0.000 Ir
```


Entry from Alexandria via LeMat-Bulk: a relaxed structure of KCuIr2 (PBE-GGA).

Energy above the most stable polymorph in this dataset = 0.773 eV per atom
DFT formation energy = 1194 meV/atom

```
KCuIr2
1.0
-4.565 -2.656 1.205
2.472 -2.336 4.217
-0.711 1.884 1.461
Cu K Ir
1 1 2
Direct
0.000 0.500 0.500 Cu
0.500 0.000 0.500 K
0.500 0.500 0.000 Ir
0.000 0.000 0.000 Ir
```


Entry from Alexandria via LeMat-Bulk: a relaxed structure of LaZn8Ni2 (PBE-GGA).

DFT formation energy = 142 meV/atom

```
LaZn8Ni2
1.0
-2.440 4.583 -1.330
-3.259 -2.692 -3.296
-5.340 -1.059 6.146
Ni Zn La
2 8 1
Direct
0.000 0.500 0.000 Ni
0.500 0.000 0.000 Ni
0.752 0.752 0.187 Zn
0.752 0.248 0.813 Zn
0.248 0.248 0.187 Zn
0.752 0.248 0.187 Zn
0.752 0.752 0.813 Zn
0.248 0.752 0.813 Zn
0.248 0.248 0.813 Zn
0.248 0.752 0.187 Zn
0.500 0.500 0.500 La
```


Values for spin magnetization, μB per formula unit, ordered as above
0.0 0.0 0.0 5.2 0.0 0.0 0.0 0.0
Values for N(E_F), states/eV per atom, ordered as above
1.422 0.273 0.326 2.480 0.444 1.794 0.834 0.695